Below is an optimized crystal structure of SnH2S2F2, with properties calculated at the GGA-PBE level.

Geometry as CIF:
```
data_SnH2S2F2
_cell_length_a 11.2013
_cell_length_b 3.6949
_cell_length_c 7.9606
_cell_angle_alpha 90.00
_cell_angle_beta 126.78
_cell_angle_gamma 90.00
_symmetry_space_group_name_H-M 'C 1 2/m 1'
_symmetry_Int_Tables_number 12
loop_
_symmetry_equiv_pos_as_xyz
'x,y,z'
'-x,-y,-z'
'-x,y,-z'
'x,-y,z'
'x+1/2,y+1/2,z'
'-x+1/2,-y+1/2,-z'
'-x+1/2,y+1/2,-z'
'x+1/2,-y+1/2,z'
loop_
_atom_site_label
_atom_site_type_symbol
_atom_site_fract_x
_atom_site_fract_y
_atom_site_fract_z
_atom_site_occupancy
Sn1 Sn 0.0000 0.0000 0.0000 1
H1 H 0.1072 0.5000 0.8130 1
S1 S 0.0390 0.5000 0.2561 1
F1 F 0.2228 0.0000 0.1507 1
```

Results
energy = -0.31488 Ry/atom

=====

Below is an optimized crystal structure of UH3S2F6, with properties calculated at the GGA-PBE level.

Geometry as CIF:
```
data_UH3S2F6
_cell_length_a 9.4239
_cell_length_b 5.5152
_cell_length_c 7.1969
_cell_angle_alpha 90.00
_cell_angle_beta 91.16
_cell_angle_gamma 90.00
_symmetry_space_group_name_H-M 'C 1 2/m 1'
_symmetry_Int_Tables_number 12
loop_
_symmetry_equiv_pos_as_xyz
'x,y,z'
'-x,-y,-z'
'-x,y,-z'
'x,-y,z'
'x+1/2,y+1/2,z'
'-x+1/2,-y+1/2,-z'
'-x+1/2,y+1/2,-z'
'x+1/2,-y+1/2,z'
loop_
_atom_site_label
_atom_site_type_symbol
_atom_site_fract_x
_atom_site_fract_y
_atom_site_fract_z
_atom_site_occupancy
U1 U 0.0000 0.0000 0.0000 1
H1 H 0.0000 0.5000 0.5000 1
H2 H 0.2500 0.2500 0.5000 1
S1 S 0.1684 0.5000 0.5657 1
F1 F 0.0983 0.0000 0.7489 1
F2 F 0.1301 0.2589 0.1081 1
```

Results
energy = -0.38201 Ry/atom

=====

Below is an optimized crystal structure of SbHF2, with properties calculated at the GGA-PBE level.

Geometry as CIF:
```
data_SbHF2
_cell_length_a 4.9228
_cell_length_b 4.9228
_cell_length_c 7.2823
_cell_angle_alpha 90.00
_cell_angle_beta 90.00
_cell_angle_gamma 90.00
_symmetry_space_group_name_H-M 'I 41/a m d'
_symmetry_Int_Tables_number 141
loop_
_symmetry_equiv_pos_as_xyz
'x,y,z'
'-x,-y,-z'
'-y+1/4,x+3/4,z+1/4'
'y+1/4,-x+3/4,-z+1/4'
'-x+1/2,-y,z+1/2'
'x+1/2,y,-z+1/2'
'y+1/4,-x+1/4,z+3/4'
'-y+1/4,x+1/4,-z+3/4'
'x,-y,-z'
'-x,y,z'
'-y+1/4,-x+1/4,-z+3/4'
'y+1/4,x+1/4,z+3/4'
'-x+1/2,y,-z+1/2'
'x+1/2,-y,z+1/2'
'y+1/4,x+3/4,-z+1/4'
'-y+1/4,-x+3/4,z+1/4'
'x+1/2,y+1/2,z+1/2'
'-x+1/2,-y+1/2,-z+1/2'
'-y+3/4,x+1/4,z+3/4'
'y+3/4,-x+1/4,-z+3/4'
'-x,-y+1/2,z'
'x,y+1/2,-z'
'y+3/4,-x+3/4,z+1/4'
'-y+3/4,x+3/4,-z+1/4'
'x+1/2,-y+1/2,-z+1/2'
'-x+1/2,y+1/2,z+1/2'
'-y+3/4,-x+3/4,-z+1/4'
'y+3/4,x+3/4,z+1/4'
'-x,y+1/2,-z'
'x,-y+1/2,z'
'y+3/4,x+1/4,-z+3/4'
'-y+3/4,-x+1/4,z+3/4'
loop_
_atom_site_label
_atom_site_type_symbol
_atom_site_fract_x
_atom_site_fract_y
_atom_site_fract_z
_atom_site_occupancy
Sb1 Sb 0.0000 0.2500 0.3750 1
H1 H 0.0000 0.2500 0.8750 1
F1 F 0.0000 0.0000 0.0000 1
```

Results
energy = -0.27193 Ry/atom
relative energy among the computed polymorphs = 0.390 eV per atom

=====

Below is an optimized crystal structure of SbHF6, with properties calculated at the GGA-PBE level.

Geometry as CIF:
```
data_SbHF6
_cell_length_a 5.1072
_cell_length_b 8.8964
_cell_length_c 5.1083
_cell_angle_alpha 90.00
_cell_angle_beta 108.99
_cell_angle_gamma 90.00
_symmetry_space_group_name_H-M 'C 1 2/m 1'
_symmetry_Int_Tables_number 12
loop_
_symmetry_equiv_pos_as_xyz
'x,y,z'
'-x,-y,-z'
'-x,y,-z'
'x,-y,z'
'x+1/2,y+1/2,z'
'-x+1/2,-y+1/2,-z'
'-x+1/2,y+1/2,-z'
'x+1/2,-y+1/2,z'
loop_
_atom_site_label
_atom_site_type_symbol
_atom_site_fract_x
_atom_site_fract_y
_atom_site_fract_z
_atom_site_occupancy
Sb1 Sb 0.0000 0.0000 0.0000 1
H1 H 0.0000 0.5000 0.5000 1
F1 F 0.0968 0.1488 0.7852 1
F2 F 0.1040 0.5000 0.7370 1
```

Results
energy = -0.32375 Ry/atom

=====

Below is an optimized crystal structure of SbHF, with properties calculated at the GGA-PBE level.

Geometry as CIF:
```
data_SbHF
_cell_length_a 3.0790
_cell_length_b 3.0809
_cell_length_c 7.8941
_cell_angle_alpha 89.11
_cell_angle_beta 87.32
_cell_angle_gamma 61.83
_symmetry_space_group_name_H-M 'P 1'
_symmetry_Int_Tables_number 1
loop_
_symmetry_equiv_pos_as_xyz
'x,y,z'
loop_
_atom_site_label
_atom_site_type_symbol
_atom_site_fract_x
_atom_site_fract_y
_atom_site_fract_z
_atom_site_occupancy
Sb1 Sb 0.0000 0.0000 0.0000 1
H1 H 0.3254 0.3030 0.5003 1
F1 F 0.5060 0.4814 0.5002 1
```

Results
energy = -0.28604 Ry/atom
relative energy among the computed polymorphs = 0.022 eV per atom

=====

Below is an optimized crystal structure of Sb2HF13, with properties calculated at the GGA-PBE level.

Geometry as CIF:
```
data_Sb2HF13
_cell_length_a 5.6307
_cell_length_b 6.4678
_cell_length_c 7.4299
_cell_angle_alpha 111.07
_cell_angle_beta 98.09
_cell_angle_gamma 92.23
_symmetry_space_group_name_H-M 'P -1'
_symmetry_Int_Tables_number 2
loop_
_symmetry_equiv_pos_as_xyz
'x,y,z'
'-x,-y,-z'
loop_
_atom_site_label
_atom_site_type_symbol
_atom_site_fract_x
_atom_site_fract_y
_atom_site_fract_z
_atom_site_occupancy
Sb1 Sb 0.1666 0.1700 0.2855 1
H1 H 0.5000 0.5000 0.0000 1
F1 F 0.0000 0.0000 0.0000 1
F2 F 0.0319 0.4226 0.2603 1
F3 F 0.1144 0.9199 0.6399 1
F4 F 0.3093 0.9017 0.2515 1
F5 F 0.3233 0.3862 0.9721 1
F6 F 0.3517 0.3238 0.5336 1
F7 F 0.4360 0.2316 0.1526 1
```

Results
energy = -0.29740 Ry/atom

=====

Below is an optimized crystal structure of SbH3F8, with properties calculated at the GGA-PBE level.

Geometry as CIF:
```
data_SbH3F8
_cell_length_a 5.1472
_cell_length_b 11.6319
_cell_length_c 5.8199
_cell_angle_alpha 90.00
_cell_angle_beta 94.99
_cell_angle_gamma 90.00
_symmetry_space_group_name_H-M 'P 1 21 1'
_symmetry_Int_Tables_number 4
loop_
_symmetry_equiv_pos_as_xyz
'x,y,z'
'-x,y+1/2,-z'
loop_
_atom_site_label
_atom_site_type_symbol
_atom_site_fract_x
_atom_site_fract_y
_atom_site_fract_z
_atom_site_occupancy
Sb1 Sb 0.1617 0.0000 0.2376 1
H1 H 0.1757 0.2920 0.6949 1
H2 H 0.2155 0.8580 0.6788 1
H3 H 0.3188 0.2045 0.4668 1
F1 F 0.0124 0.8433 0.2127 1
F2 F 0.0171 0.5528 0.0386 1
F3 F 0.1051 0.7986 0.7283 1
F4 F 0.1090 0.5464 0.5832 1
F5 F 0.3290 0.1558 0.2900 1
F6 F 0.3375 0.2467 0.6428 1
F7 F 0.3581 0.9541 0.5199 1
F8 F 0.4450 0.9531 0.0742 1
```

Results
energy = -0.31860 Ry/atom

=====

Below is an optimized crystal structure of SbH2F6, with properties calculated at the GGA-PBE level.

Geometry as CIF:
```
data_SbH2F6
_cell_length_a 14.2501
_cell_length_b 7.9592
_cell_length_c 5.0208
_cell_angle_alpha 90.00
_cell_angle_beta 99.82
_cell_angle_gamma 90.00
_symmetry_space_group_name_H-M 'C 1 2/c 1'
_symmetry_Int_Tables_number 15
loop_
_symmetry_equiv_pos_as_xyz
'x,y,z'
'-x,-y,-z'
'-x,y,-z+1/2'
'x,-y,z+1/2'
'x+1/2,y+1/2,z'
'-x+1/2,-y+1/2,-z'
'-x+1/2,y+1/2,-z+1/2'
'x+1/2,-y+1/2,z+1/2'
loop_
_atom_site_label
_atom_site_type_symbol
_atom_site_fract_x
_atom_site_fract_y
_atom_site_fract_z
_atom_site_occupancy
Sb1 Sb 0.0000 0.1568 0.2500 1
H1 H 0.2218 0.4814 0.4420 1
F1 F 0.0756 0.0717 0.6143 1
F2 F 0.0827 0.3164 0.1166 1
F3 F 0.2286 0.4366 0.6222 1
```

Results
energy = -0.31572 Ry/atom
relative energy among the computed polymorphs = 0.000 eV per atom